Entry 1:
The following is a PBE-GGA calculation of crystalline SmDy7Tm12 at its relaxed geometry, from Alexandria.

Unit cell a=11.129 b=11.129 c=11.129 alpha=90.00 beta=90.00 gamma=90.00
Space group Im-3 (No. 204)
One atom of each set of equivalent atoms:
Sm  0.000  0.000  0.000 [2 per cell]
Dy  0.000  0.000  0.500 [6 per cell]
Dy  0.250  0.250  0.250 [8 per cell]
Tm  0.000  0.253  0.254 [24 per cell]

Values from the calculation:
Mass density, Mg/m³: 7.99
Calculated formation energy, eV per atom: 0.733
DOS(E_F), states/eV/f.u.: 24.4



Entry 2:
The following is a PBE-GGA calculation of crystalline KLiU2Te4 at its relaxed geometry, from Alexandria.

Unit cell a=4.489 b=14.989 c=15.775 alpha=90.00 beta=90.00 gamma=90.00
Space group Cmcm (No. 63)
One atom of each set of equivalent atoms:
K  0.000  0.113  0.250 [4 per cell]
Li  0.000  0.162  0.750 [4 per cell]
U  0.000  0.368  0.061 [8 per cell]
Te  0.000  0.000  0.000 [4 per cell]
Te  0.000  0.268  0.611 [8 per cell]
Te  0.000  0.436  0.250 [4 per cell]

Values from the calculation:
Mass density, Mg/m³: 6.46
VASP energy, eV/cell: -177.82
DOS(E_F), states/eV/f.u.: 13.0



Entry 3:
The following is a PBE-GGA calculation of crystalline BaTlRe at its relaxed geometry, from Alexandria.

Unit cell a=3.4753 b=3.4753 c=7.6970 alpha=90.00 beta=90.00 gamma=120.00
Space group P3m1 (No. 156)
One atom of each set of equivalent atoms:
Ba  0.0000  0.0000  0.0000 [1 per cell]
Tl  0.3333  0.6667  0.5871 [1 per cell]
Re  0.6667  0.3333  0.3191 [1 per cell]

Values from the calculation:
Mass density, Mg/m³: 10.89
Calculated formation energy, eV per atom: 1.155
DOS(E_F), states/eV/f.u.: 3.0



Entry 4:
The following is a PBE-GGA calculation of crystalline SmPtPb at its relaxed geometry, from Alexandria.

Unit cell a=4.7915 b=4.7915 c=3.6568 alpha=90.00 beta=90.00 gamma=120.00
Space group P-6m2 (No. 187)
One atom of each set of equivalent atoms:
Sm  0.0000  0.0000  0.0000 [1 per cell]
Pt  0.3333  0.6667  0.5000 [1 per cell]
Pb  0.6667  0.3333  0.5000 [1 per cell]

Values from the calculation:
Mass density, Mg/m³: 12.62
Calculated formation energy, eV per atom: -0.722
DOS(E_F), states/eV/f.u.: 2.4



Entry 5:
The following is a PBE-GGA calculation of crystalline Ag3HgCl7 at its relaxed geometry, from Alexandria.

Unit cell a=7.776 b=12.204 c=6.727 alpha=90.00 beta=114.17 gamma=90.00
Space group C2/m (No. 12)
One atom of each set of equivalent atoms:
Ag  0.000  0.000  0.000 [2 per cell]
Ag  0.000  0.291  0.500 [4 per cell]
Hg  0.000  0.500  0.000 [2 per cell]
Cl  0.000  0.500  0.500 [2 per cell]
Cl  0.168  0.200  0.245 [8 per cell]
Cl  0.184  0.000  0.762 [4 per cell]

Values from the calculation:
Mass density, Mg/m³: 4.40
VASP energy, eV/cell: -51.37
DOS(E_F), states/eV/f.u.: 7.8



Entry 6:
The following is a PBE-GGA calculation of crystalline Pa2SbPt at its relaxed geometry, from Alexandria.

Unit cell a=4.528 b=4.528 c=4.436 alpha=90.00 beta=90.00 gamma=90.00
Space group P4/mmm (No. 123)
One atom of each set of equivalent atoms:
Pa  0.000  0.500  0.000 [2 per cell]
Sb  0.000  0.000  0.500 [1 per cell]
Pt  0.500  0.500  0.500 [1 per cell]

Values from the calculation:
Mass density, Mg/m³: 14.22
VASP energy, eV/cell: -31.06
DOS(E_F), states/eV/f.u.: 7.0



Which formula does entry 4 have? SmPtPb



Which value of mass density does entry 3 give? 10.89 Mg/m³



Which of these has the lowest DOS(E_F)? SmPtPb



Look up the mass density of the fourth one. 12.62 Mg/m³